1.
Material: CaCdHgH2
Method: DFT, GGA-PBE
State: optimized geometry

Properties
As for the space group: No. 123. The value obtained for the uncorrected energy is -7.78 eV per formula unit. Its magnetic moment is 0.0000 μB/atom.

Structure (POSCAR):
```
CaCdHgH2
1.0
4.233 0.000 0.000
0.000 6.221 0.000
0.000 0.000 4.233
H Ca Hg Cd
2 1 1 1
direct
0.000 0.000 0.500
0.500 0.000 0.000
0.000 0.500 0.000
0.000 0.000 0.000
0.500 0.500 0.500
```


2.
Material: Ca2CdHgH
Method: DFT, GGA-PBE
State: optimized geometry

Properties
As for the space group: No. 123. The value obtained for the uncorrected energy is -10.39 eV per formula unit. Its magnetic moment is 0.0000 μB/atom.

Structure (POSCAR):
```
Ca2CdHgH
1.0
-0.646 -4.917 0.845
4.898 -0.462 1.053
-0.817 0.822 4.161
H Ca Hg Cd
1 2 1 1
direct
0.000 0.000 0.000
0.000 0.500 0.000
0.500 0.000 0.000
0.500 0.500 0.500
0.000 0.000 0.500
```


3.
Material: CaCd2HgH
Method: DFT, GGA-PBE
State: optimized geometry

Properties
As for the space group: No. 123. The value obtained for the uncorrected energy is -8.29 eV per formula unit. Its magnetic moment is 0.0000 μB/atom.

Structure (POSCAR):
```
CaCd2HgH
1.0
-3.117 0.797 3.476
2.217 -3.183 2.717
2.686 3.285 1.656
H Ca Hg Cd
1 1 1 2
direct
0.000 0.000 0.000
0.000 0.000 0.500
0.500 0.500 0.500
0.000 0.500 0.000
0.500 0.000 0.000
```